No. 1
## BaTlBN2 (PBE-GGA)

Data for an optimized crystal structure of BaTlBN2.

Results
The mass density is 4.8 g/cm3. The calculation puts the uncorrected formation energy at 2.164 eV per atom.

Cell lengths 4.4335, 6.6768, 4.4335 Å; angles 90.00, 90.00, 90.00 degrees
Closest atoms and distances in Å follow each position.
Positions (direct):
N  0.0000  0.0000  0.5000  2 Tl 2.22
B  0.5000  0.5000  0.5000  4 Ba 3.13
N  0.5000  0.0000  0.0000  2 Tl 2.22
Ba  0.0000  0.5000  0.0000  4 B 3.13, 2 Tl 3.34
Tl  0.0000  0.0000  0.0000  4 N 2.22



No. 2
## RuRh2S4 (PBE-GGA)

Data for an optimized crystal structure of RuRh2S4.

Results
The mass density is 5.7 g/cm3. The calculation puts the uncorrected formation energy at 0.335 eV per atom.

Cell lengths 4.7506, 4.7506, 6.5872 Å; angles 68.86, 68.86, 90.00 degrees
Closest atoms and distances in Å follow each position.
Positions (direct):
Rh  0.6116  0.6116  0.7768  1 S 2.14
S  0.5000  0.0000  0.0000  2 Ru 2.38
S  0.8009  0.8009  0.3983  1 Rh 2.14, 1 Ru 2.26
S  0.1991  0.1991  0.6017  1 Rh 2.14, 1 Ru 2.26
S  0.0000  0.5000  0.0000  2 Ru 2.38
Ru  0.0000  0.0000  0.0000  6 S 2.26-2.38
Rh  0.3884  0.3884  0.2232  1 S 2.14



No. 3
## ScInHg4 (PBE-GGA)

Data for an optimized crystal structure of ScInHg4.

Results
The mass density is 10.5 g/cm3. The polymorph energy (0 for the lowest one) is 0.0076 eV per atom. The calculation puts the calculated formation energy at -0.58 eV per formula unit.

Cell lengths 6.3052, 7.8305, 7.6974 Å; angles 112.49, 104.65, 107.94 degrees
Closest atoms and distances in Å follow each position.
Positions (direct):
Hg  0.2093  0.2885  0.3866  2 Sc 3.03-3.05, 3 Hg 3.06-3.22, 2 In 3.07-3.21
In  0.3666  0.6166  0.2332  8 Hg 3.07-3.27
Sc  0.7425  0.9925  0.9851  8 Hg 2.99-3.05, 2 Sc 3.16
Hg  0.6772  0.0981  0.3866  2 Sc 3.03-3.05, 3 Hg 3.06-3.22, 2 In 3.07-3.21
In  0.6334  0.3834  0.7668  8 Hg 3.07-3.27
Hg  0.9631  0.7957  0.1925  2 Sc 2.99-3.03, 3 Hg 3.02-3.20, 2 In 3.13-3.27
Hg  0.7293  0.3968  0.1925  2 Sc 2.99-3.03, 3 Hg 3.02-3.20, 2 In 3.13-3.27
Hg  0.0369  0.2043  0.8075  2 Sc 2.99-3.03, 3 Hg 3.02-3.20, 2 In 3.13-3.27
Sc  0.2575  0.0075  0.0149  8 Hg 2.99-3.05, 2 Sc 3.16
Hg  0.3228  0.9019  0.6134  2 Sc 3.03-3.05, 3 Hg 3.06-3.22, 2 In 3.07-3.21
Hg  0.7907  0.7115  0.6134  2 Sc 3.03-3.05, 3 Hg 3.06-3.22, 2 In 3.07-3.21
Hg  0.2707  0.6032  0.8075  2 Sc 2.99-3.03, 3 Hg 3.02-3.20, 2 In 3.13-3.27